# RbVF3

Crystalline RbVF3 at its relaxed geometry (GGA+U, Alexandria via LeMat-Bulk).

The spin magnetization is 11.9 Bohr magnetons per cell. The total energy comes out at -4.582 eV per atom.

It has space group I-4m2 (No. 119), with a = 4.2586 Å, b = 4.2586 Å, c = 20.6534 Å, α = 90.00°, β = 90.00° and γ = 90.00°. The distinct sites, in fractional coordinates, are Rb at (0.0000, 0.0000, 0.0000), Rb at (0.0000, 0.5000, 0.2500), V at (0.0000, 0.5000, 0.6365), F at (0.0000, 0.0000, 0.3336) and F at (0.0000, 0.2452, 0.1210).